An optimized crystal structure of Cu4Pt, computed with PBE-GGA.

Properties
- Magnetic moment: 0.00 Bohr magnetons per cell
- Formation energy: -0.102 eV per atom
- Energy above the lowest structure with this stoichiometry: 0.0 kJ per mole of atoms

Geometry as CIF:
```
data_Cu4Pt
_cell_length_a 5.8123
_cell_length_b 5.8123
_cell_length_c 3.7867
_cell_angle_alpha 90.00
_cell_angle_beta 90.00
_cell_angle_gamma 90.00
_symmetry_space_group_name_H-M 'I 4/m'
_symmetry_Int_Tables_number 87
_symmetry_space_group_name_Hall '-I 4'
loop_
_atom_site_label
_atom_site_type_symbol
_atom_site_fract_x
_atom_site_fract_y
_atom_site_fract_z
_atom_site_occupancy
Cu1 Cu 0.0956 0.6975 0.0000 1
Pt1 Pt 0.0000 0.0000 0.5000 1
```